Record 1
TbPr4Tm3Se8 | PBE | optimized geometry

Values from the calculation:
Calculated volume = 405.44 Å³/f.u.
Total moment = 0.000 μB/f.u.
Raw formation energy = -1.78 eV per atom

a = 8.4620 Å, b = 8.4620 Å, c = 8.4620 Å
α = 57.66°, β = 57.66°, γ = 57.66°
Last column: nearest neighbours and their distance in Å.
Positions (direct):
Tb 0.0000 0.0000 0.0000  6 Se 2.87
Pr 0.0000 0.0000 0.5000  6 Se 3.04
Pr 0.0000 0.5000 0.0000  6 Se 3.04
Pr 0.5000 0.0000 0.0000  6 Se 3.04
Pr 0.5000 0.5000 0.5000  6 Se 3.01
Tm 0.0000 0.5000 0.5000  6 Se 2.84
Tm 0.5000 0.0000 0.5000  6 Se 2.84
Tm 0.5000 0.5000 0.0000  6 Se 2.84
Se 0.2446 0.2446 0.7389  2 Tm 2.84, 1 Tb 2.87, 3 Pr 3.01-3.04
Se 0.2446 0.7389 0.2446  2 Tm 2.84, 1 Tb 2.87, 3 Pr 3.01-3.04
Se 0.2580 0.2580 0.2580  3 Tm 2.84, 3 Pr 3.04
Se 0.2611 0.7554 0.7554  2 Tm 2.84, 1 Tb 2.87, 3 Pr 3.01-3.04
Se 0.7389 0.2446 0.2446  2 Tm 2.84, 1 Tb 2.87, 3 Pr 3.01-3.04
Se 0.7420 0.7420 0.7420  3 Tm 2.84, 3 Pr 3.04
Se 0.7554 0.2611 0.7554  2 Tm 2.84, 1 Tb 2.87, 3 Pr 3.01-3.04
Se 0.7554 0.7554 0.2611  2 Tm 2.84, 1 Tb 2.87, 3 Pr 3.01-3.04

=====

Record 2
Tb4PrTm3Se8 | PBE | optimized geometry

Values from the calculation:
Calculated volume = 387.19 Å³/f.u.
Total moment = 0.000 μB/f.u.
Raw formation energy = -1.73 eV per atom

a = 8.1735 Å, b = 8.1735 Å, c = 8.1735 Å
α = 60.12°, β = 60.12°, γ = 60.12°
Last column: nearest neighbours and their distance in Å.
Positions (direct):
Tb 0.0000 0.0000 0.0000  6 Se 2.84
Tb 0.0000 0.5000 0.5000  6 Se 2.92-2.93
Tb 0.5000 0.0000 0.5000  6 Se 2.92-2.93
Tb 0.5000 0.5000 0.0000  6 Se 2.92-2.93
Pr 0.5000 0.5000 0.5000  6 Se 2.95
Tm 0.0000 0.0000 0.5000  6 Se 2.86
Tm 0.0000 0.5000 0.0000  6 Se 2.86
Tm 0.5000 0.0000 0.0000  6 Se 2.86
Se 0.2394 0.7550 0.7550  3 Tb 2.84-2.93, 2 Tm 2.86, 1 Pr 2.95
Se 0.2450 0.2450 0.7606  3 Tb 2.84-2.93, 2 Tm 2.86, 1 Pr 2.95
Se 0.2450 0.7606 0.2450  3 Tb 2.84-2.93, 2 Tm 2.86, 1 Pr 2.95
Se 0.2472 0.2472 0.2472  3 Tm 2.86, 3 Tb 2.92
Se 0.7528 0.7528 0.7528  3 Tm 2.86, 3 Tb 2.92
Se 0.7550 0.2394 0.7550  3 Tb 2.84-2.93, 2 Tm 2.86, 1 Pr 2.95
Se 0.7550 0.7550 0.2394  3 Tb 2.84-2.93, 2 Tm 2.86, 1 Pr 2.95
Se 0.7606 0.2450 0.2450  3 Tb 2.84-2.93, 2 Tm 2.86, 1 Pr 2.95

=====

Record 3
Tb4Pr3TmSe8 | PBE | optimized geometry

Values from the calculation:
Calculated volume = 405.18 Å³/f.u.
Total moment = 0.000 μB/f.u.
Raw formation energy = -1.78 eV per atom

a = 8.3238 Å, b = 8.3238 Å, c = 8.3238 Å
α = 59.72°, β = 59.72°, γ = 59.72°
Last column: nearest neighbours and their distance in Å.
Positions (direct):
Tb 0.0000 0.0000 0.0000  6 Se 2.97
Tb 0.0000 0.5000 0.5000  6 Se 2.88
Tb 0.5000 0.0000 0.5000  6 Se 2.88
Tb 0.5000 0.5000 0.0000  6 Se 2.88
Pr 0.0000 0.0000 0.5000  6 Se 3.00
Pr 0.0000 0.5000 0.0000  6 Se 3.00
Pr 0.5000 0.0000 0.0000  6 Se 3.00
Tm 0.5000 0.5000 0.5000  6 Se 2.90
Se 0.2529 0.2529 0.7368  3 Tb 2.88-2.97, 1 Tm 2.90, 2 Pr 3.00
Se 0.2529 0.7368 0.2529  3 Tb 2.88-2.97, 1 Tm 2.90, 2 Pr 3.00
Se 0.2553 0.2553 0.2553  3 Tb 2.88, 3 Pr 3.00
Se 0.2632 0.7471 0.7471  3 Tb 2.88-2.97, 1 Tm 2.90, 2 Pr 3.00
Se 0.7368 0.2529 0.2529  3 Tb 2.88-2.97, 1 Tm 2.90, 2 Pr 3.00
Se 0.7447 0.7447 0.7447  3 Tb 2.88, 3 Pr 3.00
Se 0.7471 0.2632 0.7471  3 Tb 2.88-2.97, 1 Tm 2.90, 2 Pr 3.00
Se 0.7471 0.7471 0.2632  3 Tb 2.88-2.97, 1 Tm 2.90, 2 Pr 3.00

=====

Record 4
TbPr2TmSe5 | PBE | optimized geometry

Values from the calculation:
Calculated volume = 275.30 Å³/f.u.
Total moment = 0.000 μB/f.u.
Raw formation energy = -1.33 eV per atom

a = 5.0612 Å, b = 5.0612 Å, c = 10.7472 Å
α = 90.00°, β = 90.00°, γ = 90.00°
Last column: nearest neighbours and their distance in Å.
Positions (direct):
Tb 0.0000 0.0000 0.0000  2 Se 2.65
Pr 0.5000 0.5000 0.2992  5 Se 3.22-3.33
Pr 0.5000 0.5000 0.7008  5 Se 3.22-3.33
Tm 0.0000 0.0000 0.5000  6 Se 2.53-2.72
Se 0.0000 0.0000 0.2468  1 Tb 2.65, 1 Tm 2.72
Se 0.0000 0.0000 0.7532  1 Tb 2.65, 1 Tm 2.72
Se 0.0000 0.5000 0.5000  2 Tm 2.53
Se 0.5000 0.0000 0.5000  2 Tm 2.53
Se 0.5000 0.5000 0.0000  2 Pr 3.22, 4 Tb 3.58

=====

Record 5
Tb3Pr4TmSe8 | PBE | optimized geometry

Values from the calculation:
Calculated volume = 411.05 Å³/f.u.
Total moment = 0.000 μB/f.u.
Raw formation energy = -1.80 eV per atom

a = 8.4559 Å, b = 8.4559 Å, c = 8.4559 Å
α = 58.32°, β = 58.32°, γ = 58.32°
Last column: nearest neighbours and their distance in Å.
Positions (direct):
Tb 0.0000 0.5000 0.5000  6 Se 2.89
Tb 0.5000 0.0000 0.5000  6 Se 2.89
Tb 0.5000 0.5000 0.0000  6 Se 2.89
Pr 0.0000 0.0000 0.5000  6 Se 3.02
Pr 0.0000 0.5000 0.0000  6 Se 3.02
Pr 0.5000 0.0000 0.0000  6 Se 3.02
Pr 0.5000 0.5000 0.5000  6 Se 3.05
Tm 0.0000 0.0000 0.0000  6 Se 2.85
Se 0.2418 0.2418 0.7474  1 Tm 2.85, 2 Tb 2.89, 3 Pr 3.02-3.05
Se 0.2418 0.7474 0.2418  1 Tm 2.85, 2 Tb 2.89, 3 Pr 3.02-3.05
Se 0.2526 0.7582 0.7582  1 Tm 2.85, 2 Tb 2.89, 3 Pr 3.02-3.05
Se 0.2555 0.2555 0.2555  3 Tb 2.89, 3 Pr 3.02
Se 0.7445 0.7445 0.7445  3 Tb 2.89, 3 Pr 3.02
Se 0.7474 0.2418 0.2418  1 Tm 2.85, 2 Tb 2.89, 3 Pr 3.02-3.05
Se 0.7582 0.2526 0.7582  1 Tm 2.85, 2 Tb 2.89, 3 Pr 3.02-3.05
Se 0.7582 0.7582 0.2526  1 Tm 2.85, 2 Tb 2.89, 3 Pr 3.02-3.05

=====

Record 6
Tb2Pr3TmSe6 | PBE | optimized geometry

Values from the calculation:
Calculated volume = 307.24 Å³/f.u.
Total moment = 0.000 μB/f.u.
Raw formation energy = -1.80 eV per atom

a = 7.1468 Å, b = 7.1468 Å, c = 7.3602 Å
α = 99.30°, β = 99.30°, γ = 120.23°
Last column: nearest neighbours and their distance in Å.
Positions (direct):
Tb 0.1670 0.8330 0.0000  6 Se 2.89-2.90
Tb 0.8330 0.1670 0.0000  6 Se 2.89-2.90
Pr 0.0000 0.0000 0.5000  6 Se 3.01-3.04
Pr 0.3300 0.6700 0.5000  6 Se 3.01-3.03
Pr 0.6700 0.3300 0.5000  6 Se 3.01-3.03
Tm 0.5000 0.5000 0.0000  6 Se 2.84-2.85
Se 0.0951 0.4231 0.7691  1 Tm 2.84, 2 Tb 2.89, 3 Pr 3.01-3.03
Se 0.2496 0.2496 0.2336  1 Tm 2.85, 2 Tb 2.90, 3 Pr 3.03-3.04
Se 0.4231 0.0951 0.7691  1 Tm 2.84, 2 Tb 2.89, 3 Pr 3.01-3.03
Se 0.5769 0.9049 0.2309  1 Tm 2.84, 2 Tb 2.89, 3 Pr 3.01-3.03
Se 0.7504 0.7504 0.7664  1 Tm 2.85, 2 Tb 2.90, 3 Pr 3.03-3.04
Se 0.9049 0.5769 0.2309  1 Tm 2.84, 2 Tb 2.89, 3 Pr 3.01-3.03

=====

What is the raw formation energy in the fourth record?
-1.33 eV per atom

=====

Repeat the second record exactly.
Tb4PrTm3Se8 | PBE | optimized geometry

Values from the calculation:
Calculated volume = 387.19 Å³/f.u.
Total moment = 0.000 μB/f.u.
Raw formation energy = -1.73 eV per atom

a = 8.1735 Å, b = 8.1735 Å, c = 8.1735 Å
α = 60.12°, β = 60.12°, γ = 60.12°
Last column: nearest neighbours and their distance in Å.
Positions (direct):
Tb 0.0000 0.0000 0.0000  6 Se 2.84
Tb 0.0000 0.5000 0.5000  6 Se 2.92-2.93
Tb 0.5000 0.0000 0.5000  6 Se 2.92-2.93
Tb 0.5000 0.5000 0.0000  6 Se 2.92-2.93
Pr 0.5000 0.5000 0.5000  6 Se 2.95
Tm 0.0000 0.0000 0.5000  6 Se 2.86
Tm 0.0000 0.5000 0.0000  6 Se 2.86
Tm 0.5000 0.0000 0.0000  6 Se 2.86
Se 0.2394 0.7550 0.7550  3 Tb 2.84-2.93, 2 Tm 2.86, 1 Pr 2.95
Se 0.2450 0.2450 0.7606  3 Tb 2.84-2.93, 2 Tm 2.86, 1 Pr 2.95
Se 0.2450 0.7606 0.2450  3 Tb 2.84-2.93, 2 Tm 2.86, 1 Pr 2.95
Se 0.2472 0.2472 0.2472  3 Tm 2.86, 3 Tb 2.92
Se 0.7528 0.7528 0.7528  3 Tm 2.86, 3 Tb 2.92
Se 0.7550 0.2394 0.7550  3 Tb 2.84-2.93, 2 Tm 2.86, 1 Pr 2.95
Se 0.7550 0.7550 0.2394  3 Tb 2.84-2.93, 2 Tm 2.86, 1 Pr 2.95
Se 0.7606 0.2450 0.2450  3 Tb 2.84-2.93, 2 Tm 2.86, 1 Pr 2.95

=====

raw formation energy of number 5 (Tb3Pr4TmSe8)?
-1.80 eV per atom

=====

Look up the raw formation energy of the second one.
-1.73 eV per atom